DFT (PBE with a Hubbard U) results for an optimized crystal structure of K2CoBF.

a = 5.4949 Å, b = 4.1090 Å, c = 5.4949 Å
α = 90.00°, β = 90.00°, γ = 90.00°
Site moments in Bohr magnetons follow the coordinates.
Fractional coordinates of all 5 atoms:
K  0.0000  0.0000  0.5000  0.02
K  0.5000  0.0000  0.0000  0.03
B  0.5000  0.5000  0.5000  0.51
Co  0.0000  0.5000  0.0000  2.13
F  0.0000  0.0000  0.0000  0.06

E ... -2.791 eV/atom
N(E_F) ... 0.458 states/eV per atom
Space group ... P4/mmm, No. 123